(1)
VASP calculation (PBE) on Co2H after structural relaxation.

abc: 2.535 2.535 13.367
angles: 90.00 90.00 120.00
Fractional positions:
Co 0.000 0.000 0.084
Co 0.000 0.000 0.916
Co 0.333 0.667 0.582
Co 0.333 0.667 0.751
Co 0.667 0.333 0.249
Co 0.667 0.333 0.418
H 0.000 0.000 0.500
H 0.333 0.667 0.167
H 0.667 0.333 0.833

Properties
N(E_F) ... 8.81 states/eV/cell
Energy ... -5.64 eV per atom
Space-group type ... R-3m, No. 166
Magnetization ... 2.9 μB per formula unit

***

(2)
VASP calculation (PBE) on Pm5Tl6 after structural relaxation.

abc: 7.512 7.512 8.237
angles: 98.23 98.23 129.59
Fractional positions:
Pm 0.000 0.000 0.000
Pm 0.286 0.714 0.000
Pm 0.349 0.651 0.500
Pm 0.651 0.349 0.500
Pm 0.714 0.286 0.000
Tl 0.084 0.816 0.305
Tl 0.184 0.916 0.695
Tl 0.476 0.476 0.801
Tl 0.524 0.524 0.199
Tl 0.816 0.084 0.305
Tl 0.916 0.184 0.695

Properties
N(E_F) ... 11.29 states/eV/cell
Offset from the most stable computed form ... 68 meV/atom
E_form ... -0.23 eV per atom
Energy ... -3.68 eV per atom
Space-group type ... C2/m, No. 12
Magnetization ... 0.0 μB per formula unit